Below is crystalline TbHf2In at its relaxed geometry, with properties calculated at the GGA-PBE level.

- ΔH_f (0 K): -0.0818 eV per atom
- Final energy: -6.901 eV per atom
- SG: No. 123
- Offset from the most stable computed form: 0 meV/atom

Cell: 4.5605 4.5496 4.5496 Å, 90.00 90.00 90.00°
Atoms (fractional coordinates):
Hf: 0.0000 0.5000 0.0000
Hf: 0.0000 0.0000 0.5000
Tb: 0.5000 0.5000 0.5000
In: 0.5000 0.0000 0.0000